Entry from Alexandria: YMn2Si2 after structural relaxation (GGA-PBE).

```
10
Lattice="-0.2155 7.2906 0.9941 -4.5451 -0.9140 5.7180 2.1492 -0.1658 1.6819" Properties=species:S:1:pos:R:3 pbc="T T T"
Y -2.3803 3.1883 3.3560
Y 0.0000 0.0000 0.0000
Mn -2.9662 3.8081 6.3882
Mn -1.8708 0.3614 4.6486
Mn 0.3549 2.4027 2.0057
Mn -0.7405 5.8494 3.7453
Si -0.7805 4.5465 1.4456
Si -1.6607 0.7025 2.1914
Si -3.0999 5.6742 4.5206
Si -3.9800 1.8302 5.2664
```

Output
The density of states at the Fermi level comes out at 8.3 states/eV/cell. The mass density comes out at 5.72 g/cm³. The uncorrected formation energy is -0.207 eV per atom. Its spin magnetization is 3.6 μB per formula unit.